A | # SrAcPb

A geometry-optimized SrAcPb structure (PBE, the Alexandria database).

Cell: 8.3237 8.3237 8.3237 Å, 152.51 152.51 39.26°
Closest atoms and distances in Å follow each position.
Positions (direct):
Sr1 0.0000 0.0000 0.0000  4 Pb 3.58, 4 Sr 3.95
Ac1 0.7159 0.7159 0.0000  4 Pb 3.57, 4 Ac 3.95
Pb1 0.3571 0.3571 0.0000  4 Ac 3.57, 4 Sr 3.58, 4 Pb 3.95

Properties
Its magnetization is 0.00 Bohr magnetons per cell. For the density of states at the Fermi level, the calculation gives 2.54 states/eV/f.u. Its symmetry is I4mm (107). Its crystal system is tetragonal.

B | # SrAcPb

A geometry-optimized SrAcPb structure (PBE, the Alexandria database).

Cell: 5.6881 5.6881 5.6881 Å, 60.00 60.00 60.00°
Closest atoms and distances in Å follow each position.
Positions (direct):
Sr1 0.0000 0.0000 0.0000  4 Pb 3.48
Ac1 0.5000 0.5000 0.5000  4 Pb 3.48
Pb1 0.7500 0.7500 0.7500  4 Sr 3.48, 4 Ac 3.48

Properties
Its magnetization is 0.00 Bohr magnetons per cell. For the density of states at the Fermi level, the calculation gives 2.41 states/eV/f.u. Its symmetry is F-43m (216). Its crystal system is cubic.

Stability, highest: B

A | # SrAcPb

A geometry-optimized SrAcPb structure (PBE, the Alexandria database).

Cell: 4.7496 5.5978 9.1591 Å, 90.00 105.00 90.00°
Closest atoms and distances in Å follow each position.
Positions (direct):
Sr1 0.0702 0.2500 0.1387  6 Pb 3.69-3.71, 2 Sr 3.72, 2 Ac 3.96
Sr2 0.9298 0.7500 0.8613  6 Pb 3.69-3.71, 2 Sr 3.72, 2 Ac 3.96
Ac1 0.2275 0.7500 0.4549  2 Pb 3.38-3.39, 4 Ac 3.76
Ac2 0.7725 0.2500 0.5451  2 Pb 3.38-3.39, 4 Ac 3.76
Pb1 0.4085 0.2500 0.8177  2 Ac 3.38-3.39, 6 Sr 3.69-3.71
Pb2 0.5915 0.7500 0.1823  2 Ac 3.38-3.39, 6 Sr 3.69-3.71

Properties
Its magnetization is 0.00 Bohr magnetons per cell. For the density of states at the Fermi level, the calculation gives 2.74 states/eV/f.u. Its symmetry is P2_1/m (11). Its crystal system is monoclinic.

B | # SrAcPb

A geometry-optimized SrAcPb structure (PBE, the Alexandria database).

Cell: 5.6826 5.6826 12.3460 Å, 90.00 90.00 120.00°
Closest atoms and distances in Å follow each position.
Positions (direct):
Sr1 0.3333 0.6667 0.1134  1 Pb 3.30
Sr2 0.6667 0.3333 0.8866  1 Pb 3.30
Ac1 0.3333 0.6667 0.6503  4 Pb 3.30-3.32
Ac2 0.6667 0.3333 0.3497  4 Pb 3.30-3.32
Pb1 0.3333 0.6667 0.3810  4 Ac 3.30-3.32, 1 Sr 3.30
Pb2 0.6667 0.3333 0.6190  4 Ac 3.30-3.32, 1 Sr 3.30

Properties
Its magnetization is 0.78 Bohr magnetons per cell. For the density of states at the Fermi level, the calculation gives 3.85 states/eV/f.u. Its symmetry is P-3m1 (164). Its crystal system is trigonal.

Stability, highest: A

A | # SrAc2Pb

A geometry-optimized SrAc2Pb structure (PBE, the Alexandria database).

Cell: 6.0842 6.0842 6.0842 Å, 60.00 60.00 60.00°
Closest atoms and distances in Å follow each position.
Positions (direct):
Sr1 0.0000 0.0000 0.0000  8 Ac 3.73
Ac1 0.2500 0.2500 0.2500  4 Pb 3.73, 4 Sr 3.73
Ac2 0.7500 0.7500 0.7500  4 Pb 3.73, 4 Sr 3.73
Pb1 0.5000 0.5000 0.5000  8 Ac 3.73

Properties
Its magnetization is 0.55 Bohr magnetons per cell. For the density of states at the Fermi level, the calculation gives 5.91 states/eV/f.u. Its symmetry is Fm-3m (225). Its crystal system is cubic.

B | # SrAc2Pb

A geometry-optimized SrAc2Pb structure (PBE, the Alexandria database).

Cell: 7.3370 7.3370 10.5193 Å, 90.00 90.00 142.29°
Closest atoms and distances in Å follow each position.
Positions (direct):
Sr1 0.0610 0.9390 0.7500  2 Pb 3.51
Sr2 0.9390 0.0610 0.2500  2 Pb 3.51
Ac1 0.3547 0.6453 0.5532  3 Pb 3.48-3.49
Ac2 0.3547 0.6453 0.9468  3 Pb 3.48-3.49
Ac3 0.6453 0.3547 0.0532  3 Pb 3.48-3.49
Ac4 0.6453 0.3547 0.4468  3 Pb 3.48-3.49
Pb1 0.2529 0.7471 0.2500  6 Ac 3.48-3.49, 2 Sr 3.51
Pb2 0.7471 0.2529 0.7500  6 Ac 3.48-3.49, 2 Sr 3.51

Properties
Its magnetization is 0.55 Bohr magnetons per cell. For the density of states at the Fermi level, the calculation gives 5.01 states/eV/f.u. Its symmetry is Cmcm (63). Its crystal system is orthorhombic.

C | # SrAc2Pb

A geometry-optimized SrAc2Pb structure (PBE, the Alexandria database).

Cell: 4.5625 4.5625 7.7525 Å, 90.00 90.00 90.00°
Closest atoms and distances in Å follow each position.
Positions (direct):
Sr1 0.0000 0.0000 0.0000  2 Pb 3.88, 8 Ac 3.89
Ac1 0.5000 0.5000 0.2797  1 Ac 3.42, 4 Pb 3.65
Ac2 0.5000 0.5000 0.7203  1 Ac 3.42, 4 Pb 3.65
Pb1 0.0000 0.0000 0.5000  8 Ac 3.65, 2 Sr 3.88

Properties
Its magnetization is 0.00 Bohr magnetons per cell. For the density of states at the Fermi level, the calculation gives 3.95 states/eV/f.u. Its symmetry is P4/mmm (123). Its crystal system is tetragonal.

D | # SrAc2Pb

A geometry-optimized SrAc2Pb structure (PBE, the Alexandria database).

Cell: 12.3389 12.3389 12.3389 Å, 19.27 19.27 19.27°
Closest atoms and distances in Å follow each position.
Positions (direct):
Sr1 0.0000 0.0000 0.0000  6 Sr 4.13, 6 Ac 4.25-4.26
Ac1 0.5695 0.5695 0.5695  3 Pb 3.48
Ac2 0.7635 0.7635 0.7635  3 Pb 3.47
Pb1 0.1663 0.1663 0.1663  6 Ac 3.47-3.48

Properties
Its magnetization is 0.00 Bohr magnetons per cell. For the density of states at the Fermi level, the calculation gives 6.06 states/eV/f.u. Its symmetry is R3m (160). Its crystal system is trigonal.

Stability, highest: B